Entry 1:
VASP calculation (GGA-PBEsol) on a relaxed KCoF3 crystal.

The density of states at the Fermi level comes out at 1.265 states/eV/atom. The value obtained for the energy relative to the elements, uncorrected is -546 meV per atom. For the magnetization, the calculation gives 0.605 μB per atom. Its crystal system is cubic.

The structure belongs to space group Pm-3m (No. 221); the cell edges are 4.5495, 4.5495 and 4.5495 Å and the angles 90.00°, 90.00° and 90.00°. Symmetry generates all atoms from K at (0.0000, 0.0000, 0.0000), Co at (0.5000, 0.5000, 0.5000) and F at (0.0000, 0.0000, 0.5000).


Entry 2:
VASP calculation (GGA-PBEsol) on a relaxed K3CoF6 crystal.

The value obtained for the energy relative to the elements, uncorrected is -2454 meV per atom. For the magnetization, the calculation gives 0.016 μB per atom. Its crystal system is cubic.

The structure belongs to space group Fm-3m (No. 225); the cell edges are 8.5411, 8.5411 and 8.5411 Å and the angles 90.00°, 90.00° and 90.00°. Symmetry generates all atoms from K at (0.0000, 0.0000, 0.0000), K at (0.2500, 0.2500, 0.2500), Co at (0.0000, 0.0000, 0.5000) and F at (0.0000, 0.0000, 0.2850).


Entry 3:
VASP calculation (GGA-PBEsol) on a relaxed K2LiCoF6 crystal.

The value obtained for the energy relative to the elements, uncorrected is -2523 meV per atom. For the magnetization, the calculation gives 0.015 μB per atom. Its crystal system is cubic.

The structure belongs to space group Fm-3m (No. 225); the cell edges are 7.8187, 7.8187 and 7.8187 Å and the angles 90.00°, 90.00° and 90.00°. Symmetry generates all atoms from K at (0.2500, 0.2500, 0.2500), Li at (0.0000, 0.0000, 0.0000), Co at (0.0000, 0.0000, 0.5000) and F at (0.0000, 0.0000, 0.2635).


Entry 4:
VASP calculation (GGA-PBEsol) on a relaxed KCo2PdF crystal.

The density of states at the Fermi level comes out at 1.247 states/eV/atom. The value obtained for the energy relative to the elements, uncorrected is 1417 meV per atom. For the magnetization, the calculation gives 0.823 μB per atom. Its crystal system is tetragonal.

The structure belongs to space group P4/mmm (No. 123); the cell edges are 4.5954, 4.5954 and 4.1942 Å and the angles 90.00°, 90.00° and 90.00°. Symmetry generates all atoms from K at (0.0000, 0.0000, 0.0000), Co at (0.0000, 0.5000, 0.0000), Pd at (0.5000, 0.5000, 0.5000) and F at (0.0000, 0.0000, 0.5000).